No. 1
The following is a PBE-GGA calculation of Dy3Tm3Tl2 after structural relaxation, from the Alexandria database.

Total magnetic moment, μB/atom: 0.166
VASP energy, eV for the cell shown: -33.31
Formation energy from the elements, eV per formula unit: -1.36

Lattice parameters (Å, degrees): 4.8096 4.8165 9.6638 90.00 90.00 90.00
Each line ends with the local moment (μB).
Fractional coordinates of all 8 atoms:
Dy: 0.5000 0.0000 0.5000  0.20
Dy: 0.0000 0.5000 0.0000  0.18
Dy: 0.0000 0.5000 0.5000  0.18
Tm: 0.5000 0.5000 0.7509  0.19
Tm: 0.5000 0.5000 0.2491  0.19
Tm: 0.5000 0.0000 0.0000  0.17
Tl: 0.0000 0.0000 0.7511  -0.01
Tl: 0.0000 0.0000 0.2489  -0.01

=====

No. 2
The following is a PBE-GGA calculation of Sr2MoCl after structural relaxation, from the Alexandria database.

Total magnetic moment, μB/atom: 0.964
VASP energy, eV for the cell shown: -15.00
Uncorrected formation energy, kJ/mol of formula units: 101

Lattice parameters (Å, degrees): 7.5620 7.5620 7.5620 145.56 145.56 49.50
Each line ends with the local moment (μB).
Fractional coordinates of all 4 atoms:
Cl: 0.5000 0.5000 0.0000  0.03
Mo: 0.7500 0.2500 0.5000  3.14
Sr: 0.0000 0.0000 0.0000  -0.02
Sr: 0.2500 0.7500 0.5000  0.04

=====

No. 3
The following is a PBE-GGA calculation of PrHo4Ag after structural relaxation, from the Alexandria database.

Total magnetic moment, μB/atom: 0.000
VASP energy, eV for the cell shown: -26.39
Formation energy from the elements, eV per formula unit: -0.45

Lattice parameters (Å, degrees): 3.5789 3.5789 13.8603 90.00 90.00 90.00
Fractional coordinates of all 6 atoms:
Pr: 0.0000 0.0000 0.0000
Ho: 0.5000 0.5000 0.1851
Ho: 0.0000 0.0000 0.6347
Ho: 0.0000 0.0000 0.3653
Ho: 0.5000 0.5000 0.8149
Ag: 0.5000 0.5000 0.5000

=====

No. 4
The following is a PBE-GGA calculation of Dy12H5Pt3 after structural relaxation, from the Alexandria database.

Total magnetic moment, μB/atom: 0.000
VASP energy, eV for the cell shown: -404.71

Lattice parameters (Å, degrees): 13.0981 13.0981 13.0981 109.47 109.47 109.47
Fractional coordinates of all 80 atoms:
Pt: 0.7500 0.3750 0.1250
Pt: 0.8750 0.7500 0.1250
Pt: 0.3750 0.7500 0.6250
Pt: 0.2500 0.1250 0.3750
Pt: 0.8750 0.1250 0.2500
Pt: 0.3750 0.6250 0.2500
Pt: 0.6250 0.3750 0.7500
Pt: 0.1250 0.8750 0.7500
Pt: 0.7500 0.8750 0.6250
Pt: 0.6250 0.2500 0.3750
Pt: 0.1250 0.2500 0.8750
Pt: 0.2500 0.6250 0.8750
H: 0.1250 0.3750 0.2500
H: 0.0000 0.5000 0.0000
H: 0.0000 0.0000 0.0000
H: 0.3750 0.2500 0.1250
H: 0.5000 0.0000 0.5000
H: 0.5000 0.5000 0.0000
H: 0.1250 0.7500 0.3750
H: 0.7500 0.1250 0.8750
H: 0.7500 0.6250 0.3750
H: 0.3750 0.1250 0.7500
H: 0.6250 0.8750 0.2500
H: 0.5000 0.5000 0.5000
H: 0.5000 0.0000 0.0000
H: 0.0000 0.0000 0.5000
H: 0.2500 0.3750 0.6250
H: 0.2500 0.8750 0.1250
H: 0.0000 0.5000 0.5000
H: 0.8750 0.2500 0.6250
H: 0.6250 0.7500 0.8750
H: 0.8750 0.6250 0.7500
Dy: 0.7143 0.1182 0.0235
Dy: 0.3092 0.5235 0.4053
Dy: 0.9765 0.3818 0.2857
Dy: 0.5235 0.2143 0.1182
Dy: 0.5961 0.7143 0.6908
Dy: 0.9765 0.5947 0.1908
Dy: 0.3092 0.7857 0.4039
Dy: 0.0947 0.9039 0.1182
Dy: 0.5947 0.9765 0.6908
Dy: 0.7143 0.5961 0.1908
Dy: 0.7857 0.4765 0.3818
Dy: 0.8092 0.9053 0.0235
Dy: 0.1182 0.7143 0.5235
Dy: 0.3818 0.4053 0.0961
Dy: 0.0961 0.9053 0.3818
Dy: 0.4039 0.1182 0.5947
Dy: 0.0961 0.1908 0.2143
Dy: 0.4765 0.6908 0.0947
Dy: 0.8092 0.9039 0.2857
Dy: 0.1182 0.4039 0.0947
Dy: 0.3818 0.9765 0.7857
Dy: 0.5947 0.6182 0.4039
Dy: 0.9053 0.8092 0.5235
Dy: 0.7857 0.3092 0.9039
Dy: 0.4053 0.3818 0.5961
Dy: 0.0947 0.1908 0.4765
Dy: 0.2143 0.6908 0.0961
Dy: 0.1908 0.0961 0.7143
Dy: 0.6182 0.0235 0.2143
Dy: 0.8818 0.5961 0.9053
Dy: 0.5235 0.3092 0.9053
Dy: 0.5961 0.8818 0.4053
Dy: 0.9039 0.8092 0.7857
Dy: 0.9039 0.0947 0.6182
Dy: 0.8818 0.2857 0.4765
Dy: 0.1908 0.0947 0.9765
Dy: 0.6182 0.5947 0.9039
Dy: 0.4053 0.0235 0.3092
Dy: 0.2857 0.4039 0.8092
Dy: 0.2143 0.5235 0.6182
Dy: 0.9053 0.0961 0.8818
Dy: 0.6908 0.2143 0.5961
Dy: 0.4765 0.7857 0.8818
Dy: 0.0235 0.4053 0.8092
Dy: 0.4039 0.2857 0.3092
Dy: 0.0235 0.6182 0.7143
Dy: 0.6908 0.4765 0.5947
Dy: 0.2857 0.8818 0.9765

=====

no.,theoretical density (g/cm³)
1,10.407
2,3.699
3,8.498
4,9.754